# 1
Here is crystalline Ta2TiGa at its relaxed geometry from Alexandria via LeMat-Bulk. Energies are from PBE-GGA.

offset from the most stable computed form = 0.206 eV/atom
DOS at the Fermi energy = 0.6936 states/eV/atom
crystal system = trigonal

The structure in CIF format:
```
data_Ta2TiGa
_symmetry_space_group_name_H-M 'R 3 m'
_symmetry_Int_Tables_number 160
_symmetry_space_group_name_Hall 'R 3 -2"'
_cell_length_a 2.9479
_cell_length_b 2.9479
_cell_length_c 28.2056
_cell_angle_alpha 90.00
_cell_angle_beta 90.00
_cell_angle_gamma 120.00
loop_
_atom_site_label
_atom_site_fract_x
_atom_site_fract_y
_atom_site_fract_z
Ta1 0.0000 0.0000 0.0000
Ta2 0.0000 0.0000 0.1705
Ti1 0.0000 0.0000 0.7517
Ga1 0.0000 0.0000 0.5852
```

***

# 2
Here is crystalline Ba2PuPd4Pb3 at its relaxed geometry from Alexandria via LeMat-Bulk. Energies are from PBE-GGA.

calculated total energy = -5.490 eV/atom
DOS at the Fermi energy = 1.4524 states/eV/atom
crystal system = tetragonal

The structure in CIF format:
```
data_Ba2PuPd4Pb3
_symmetry_space_group_name_H-M 'P -4 m 2'
_symmetry_Int_Tables_number 115
_symmetry_space_group_name_Hall 'P -4 -2'
_cell_length_a 4.887
_cell_length_b 4.887
_cell_length_c 11.354
_cell_angle_alpha 90.00
_cell_angle_beta 90.00
_cell_angle_gamma 90.00
loop_
_atom_site_label
_atom_site_fract_x
_atom_site_fract_y
_atom_site_fract_z
Ba1 0.000 0.500 0.233
Pu1 0.000 0.000 0.500
Pd1 0.000 0.000 0.000
Pd2 0.000 0.500 0.636
Pd3 0.500 0.500 0.000
Pb1 0.000 0.500 0.882
Pb2 0.500 0.500 0.500
```

***

# 3
Here is crystalline AlAs3 at its relaxed geometry from Alexandria via LeMat-Bulk. Energies are from PBE-GGA.

offset from the most stable computed form = 0.000 eV/atom
DOS at the Fermi energy = 0.1565 states/eV/atom
crystal system = orthorhombic

The structure in CIF format:
```
data_AlAs3
_symmetry_space_group_name_H-M 'C m c m'
_symmetry_Int_Tables_number 63
_symmetry_space_group_name_Hall '-C 2c 2'
_cell_length_a 7.657
_cell_length_b 8.062
_cell_length_c 5.319
_cell_angle_alpha 90.00
_cell_angle_beta 90.00
_cell_angle_gamma 90.00
loop_
_atom_site_label
_atom_site_fract_x
_atom_site_fract_y
_atom_site_fract_z
Al1 0.000 0.230 0.250
As1 0.000 0.281 0.750
As2 0.244 0.483 0.750
```